A | Entry from the Alexandria database: CsAlPS2 after structural relaxation (GGA-PBEsol).

Cell: 5.484 5.484 5.612 Å, 90.00 90.00 90.00°
Sites, in units of the cell vectors:
Cs 0.000 0.000 0.000
Al 0.500 0.500 0.500
P 0.000 0.000 0.500
S 0.000 0.500 0.000
S 0.500 0.000 0.000

Summary:
The mass density comes out at 2.51 g/cm³. Its space group is No. 123. Its total moment is 2.0 Bohr magnetons per cell. For the density of states at the Fermi level, the calculation gives 5.305 states/eV/f.u.

***

B | Entry from the Alexandria database: CsAlPS2 after structural relaxation (GGA-PBEsol).

Cell: 4.855 4.855 4.747 Å, 90.00 90.00 90.00°
Sites, in units of the cell vectors:
Cs 0.000 0.000 0.000
Al 0.500 0.500 0.500
P 0.500 0.500 0.000
S 0.000 0.500 0.500
S 0.500 0.000 0.500

Summary:
The mass density comes out at 3.78 g/cm³. Its space group is No. 123. Its total moment is 0.0 Bohr magnetons per cell. For the density of states at the Fermi level, the calculation gives 3.582 states/eV/f.u.

***

Q: Which of them is the least stable? A: A.

***

A | Entry from the Alexandria database: Cs2AlPt after structural relaxation (GGA-PBEsol).

Cell: 5.676 5.676 5.676 Å, 60.00 60.00 60.00°
Sites, in units of the cell vectors:
Cs 0.250 0.250 0.250
Cs 0.750 0.750 0.750
Al 0.000 0.000 0.000
Pt 0.500 0.500 0.500

Summary:
The mass density comes out at 6.27 g/cm³. Its space group is No. 225. Its total moment is 0.0 Bohr magnetons per cell. For the density of states at the Fermi level, the calculation gives 2.328 states/eV/f.u.

***

B | Entry from the Alexandria database: Cs2AlPt after structural relaxation (GGA-PBEsol).

Cell: 9.270 9.270 9.270 Å, 93.82 93.82 150.07°
Sites, in units of the cell vectors:
Cs 0.375 0.202 0.327
Cs 0.798 0.125 0.173
Cs 0.875 0.048 0.673
Cs 0.952 0.625 0.827
Al 0.250 0.750 0.500
Al 0.500 0.500 0.000
Pt 0.000 0.000 0.000
Pt 0.750 0.250 0.500

Summary:
The mass density comes out at 4.22 g/cm³. Its space group is No. 122. Its total moment is 0.0 Bohr magnetons per cell. For the density of states at the Fermi level, the calculation gives 1.938 states/eV/f.u.

***

Q: Which of them is the least stable? A: A.

***

A | Entry from the Alexandria database: AlCuF2 after structural relaxation (GGA-PBEsol).

Cell: 7.057 7.057 7.057 Å, 22.72 22.72 22.72°
Sites, in units of the cell vectors:
Al 0.000 0.000 0.000
Cu 0.500 0.500 0.500
F 0.091 0.091 0.091
F 0.909 0.909 0.909

Summary:
The mass density comes out at 4.64 g/cm³. Its space group is No. 166. Its total moment is 0.0 Bohr magnetons per cell. For the density of states at the Fermi level, the calculation gives 0.289 states/eV/f.u.

***

B | Entry from the Alexandria database: AlCuF2 after structural relaxation (GGA-PBEsol).

Cell: 4.082 4.082 4.082 Å, 60.00 60.00 60.00°
Sites, in units of the cell vectors:
Al 0.000 0.000 0.000
Cu 0.500 0.500 0.500
F 0.250 0.250 0.250
F 0.750 0.750 0.750

Summary:
The mass density comes out at 4.44 g/cm³. Its space group is No. 225. Its total moment is 0.0 Bohr magnetons per cell. For the density of states at the Fermi level, the calculation gives 0.647 states/eV/f.u.

***

Q: Which of them is the least stable? A: B.